Sc3Au5 (PBE, relaxed); DFT total energy = -5.018 eV/atom; ΔE_f = -596 meV per atom; crystal system = hexagonal
1.0
-6.433 3.039 -4.113
3.721 -6.830 -2.656
-3.494 -3.129 3.152
Sc Au
6 10
direct
0.000 0.291 0.750
0.000 0.709 0.250
0.291 0.000 0.750
0.291 0.291 0.250
0.709 0.000 0.250
0.709 0.709 0.750
0.000 0.361 0.250
0.000 0.639 0.750
0.361 0.000 0.250
0.361 0.361 0.750
0.333 0.667 0.000
0.333 0.667 0.500
0.667 0.333 0.000
0.667 0.333 0.500
0.639 0.000 0.750
0.639 0.639 0.250